{
  "formula": "CoReIr4",
  "functional": "PBE",
  "state": "relaxed",
  "volume_a3_per_atom": 14.07,
  "relative_energy_mev_per_atom": 0,
  "total_energy_ha_per_atom": -0.338,
  "formation_energy_ev_per_fu": -0.13,
  "n_ef_per_ev_cell": 7.1,
  "cell": [[2.719, 0.000, 0.000], [0.000, 3.834, 0.000], [0.000, 0.000, 8.099]],
  "species": ["Co", "Re", "Ir", "Ir", "Ir", "Ir"],
  "frac_coords": [[0.000, 0.000, 0.000], [0.500, 0.500, 0.500], [0.000, 0.000, 0.331], [0.000, 0.000, 0.669], [0.500, 0.500, 0.161], [0.500, 0.500, 0.839]]
}


{
  "formula": "Co2ReIr",
  "functional": "PBE",
  "state": "relaxed",
  "volume_a3_per_atom": 13.46,
  "total_energy_ha_per_atom": -0.315,
  "formation_energy_ev_per_fu": 1.23,
  "n_ef_per_ev_cell": 10.6,
  "cell": [[2.770, 0.000, 0.000], [0.000, 4.488, 0.000], [0.000, 0.000, 8.662]],
  "species": ["Co", "Co", "Co", "Co", "Re", "Re", "Ir", "Ir"],
  "frac_coords": [[0.000, 0.000, 0.000], [0.000, 0.500, 0.227], [0.500, 0.000, 0.227], [0.500, 0.500, 0.000], [0.000, 0.500, 0.750], [0.500, 0.000, 0.750], [0.000, 0.000, 0.482], [0.500, 0.500, 0.482]]
}


{
  "formula": "CoReIr2",
  "functional": "PBE",
  "state": "relaxed",
  "volume_a3_per_atom": 13.84,
  "relative_energy_mev_per_atom": 17,
  "total_energy_ha_per_atom": -0.345,
  "formation_energy_ev_per_fu": -0.32,
  "n_ef_per_ev_cell": 3.7,
  "cell": [[2.730, 0.000, 0.000], [0.000, 2.730, 0.000], [0.000, 0.000, 7.427]],
  "species": ["Co", "Re", "Ir", "Ir"],
  "frac_coords": [[0.000, 0.000, 0.000], [0.000, 0.000, 0.500], [0.500, 0.500, 0.243], [0.500, 0.500, 0.757]]
}


{
  "formula": "CoReIr2",
  "functional": "PBE",
  "state": "relaxed",
  "volume_a3_per_atom": 13.71,
  "relative_energy_mev_per_atom": 73,
  "total_energy_ha_per_atom": -0.343,
  "formation_energy_ev_per_fu": -0.09,
  "n_ef_per_ev_cell": 9.6,
  "cell": [[3.787, 0.000, 0.000], [0.000, 3.787, 0.000], [0.000, 0.000, 7.646]],
  "species": ["Co", "Co", "Re", "Re", "Ir", "Ir", "Ir", "Ir"],
  "frac_coords": [[0.000, 0.000, 0.000], [0.500, 0.500, 0.500], [0.000, 0.500, 0.250], [0.500, 0.000, 0.750], [0.000, 0.000, 0.500], [0.000, 0.500, 0.750], [0.500, 0.000, 0.250], [0.500, 0.500, 0.000]]
}


{
  "formula": "CoReIr2",
  "functional": "PBE",
  "state": "relaxed",
  "volume_a3_per_atom": 13.79,
  "relative_energy_mev_per_atom": 67,
  "total_energy_ha_per_atom": -0.344,
  "formation_energy_ev_per_fu": -0.12,
  "n_ef_per_ev_cell": 17.2,
  "cell": [[4.678, 0.000, 0.000], [0.000, 8.753, 0.000], [0.000, 0.000, 5.387]],
  "species": ["Co", "Co", "Co", "Co", "Re", "Re", "Re", "Re", "Ir", "Ir", "Ir", "Ir", "Ir", "Ir", "Ir", "Ir"],
  "frac_coords": [[0.086, 0.250, 0.130], [0.414, 0.750, 0.630], [0.586, 0.250, 0.370], [0.914, 0.750, 0.870], [0.081, 0.250, 0.622], [0.419, 0.750, 0.122], [0.581, 0.250, 0.878], [0.919, 0.750, 0.378], [0.247, 0.501, 0.375], [0.247, 0.999, 0.375], [0.253, 0.001, 0.875], [0.253, 0.499, 0.875], [0.747, 0.501, 0.125], [0.747, 0.999, 0.125], [0.753, 0.001, 0.625], [0.753, 0.499, 0.625]]
}


{
  "formula": "CoReIr2",
  "functional": "PBE",
  "state": "relaxed",
  "volume_a3_per_atom": 13.68,
  "relative_energy_mev_per_atom": 92,
  "total_energy_ha_per_atom": -0.343,
  "formation_energy_ev_per_fu": -0.02,
  "n_ef_per_ev_cell": 5.0,
  "cell": [[3.819, 0.000, 0.000], [0.000, 3.819, 0.000], [0.000, 0.000, 3.752]],
  "species": ["Co", "Re", "Ir", "Ir"],
  "frac_coords": [[0.000, 0.000, 0.000], [0.500, 0.500, 0.000], [0.000, 0.500, 0.500], [0.500, 0.000, 0.500]]
}